No. 1
{"formula": "Tb12In6Rh", "functional": "PBE", "state": "relaxed", "ef_ev_per_fu": -4.80, "rho_kg_m3": 7844, "lattice": [[6.075, 3.507, 4.470], [-6.075, 3.507, 4.470], [0.000, -7.014, 4.470]], "species": ["Tb", "Tb", "Tb", "Tb", "Tb", "Tb", "Tb", "Tb", "Tb", "Tb", "Tb", "Tb", "In", "In", "In", "In", "In", "In", "Rh"], "fractional_positions": [[0.046, 0.703, 0.930], [0.070, 0.954, 0.297], [0.183, 0.525, 0.404], [0.297, 0.070, 0.954], [0.404, 0.183, 0.525], [0.475, 0.596, 0.817], [0.525, 0.404, 0.183], [0.596, 0.817, 0.475], [0.703, 0.930, 0.046], [0.817, 0.475, 0.596], [0.930, 0.046, 0.703], [0.954, 0.297, 0.070], [0.157, 0.365, 0.767], [0.233, 0.843, 0.635], [0.365, 0.767, 0.157], [0.635, 0.233, 0.843], [0.767, 0.157, 0.365], [0.843, 0.635, 0.233], [0.500, 0.500, 0.500]]}

---

No. 2
{"formula": "Tb5In2Rh", "functional": "PBE", "state": "relaxed", "ef_ev_per_fu": -3.91, "rho_kg_m3": 8534, "lattice": [[7.349, 0.000, 0.000], [0.000, 12.385, 0.000], [0.000, 0.000, 4.819]], "species": ["Tb", "Tb", "Tb", "Tb", "Tb", "Tb", "Tb", "Tb", "Tb", "Tb", "In", "In", "In", "In", "Rh", "Rh"], "fractional_positions": [[0.000, 0.000, 0.000], [0.128, 0.291, 0.000], [0.180, 0.580, 0.500], [0.320, 0.080, 0.500], [0.372, 0.791, 0.000], [0.500, 0.500, 0.000], [0.628, 0.209, 0.000], [0.680, 0.920, 0.500], [0.820, 0.420, 0.500], [0.872, 0.709, 0.000], [0.091, 0.836, 0.500], [0.409, 0.336, 0.500], [0.591, 0.664, 0.500], [0.909, 0.164, 0.500], [0.000, 0.500, 0.000], [0.500, 0.000, 0.000]]}